The following is a PBE with a Hubbard U calculation of NbTcMoF2 after structural relaxation, from the Alexandria database.

```
NbTcMoF2
1.0
4.0112 0.0000 0.0000
0.0000 5.9441 0.0000
0.0000 0.0000 4.0112
Mo Tc Nb F
1 1 1 2
direct
0.0000 0.5000 0.0000 Mo
0.5000 0.5000 0.5000 Tc
0.0000 0.0000 0.0000 Nb
0.0000 0.0000 0.5000 F
0.5000 0.0000 0.0000 F
```

Properties
E_tot = -6.3837 eV/atom
space-group type = P4/mmm